# 1
Pm5PrNd2Er: optimized geometry, GGA-PBE.

Lattice parameters (Å, degrees): 8.8861 8.8861 10.1161 116.05 116.05 90.00
Last column: nearest neighbours and their distance in Å.
Atoms (fractional coordinates):
Nd (0.6173, 0.1173, 0.0000)  1 Nd 2.95, 2 Pm 3.09
Nd (0.3827, 0.8827, 0.0000)  1 Nd 2.95, 2 Pm 3.09
Nd (0.1173, 0.3827, 0.0000)  1 Nd 2.95, 2 Pm 3.09
Nd (0.8827, 0.6173, 0.0000)  1 Nd 2.95, 2 Pm 3.09
Pm (0.5000, 0.5000, 0.0000)  4 Nd 3.56, 8 Pm 3.87, 2 Pr 3.96
Pm (0.1515, 0.0716, 0.7231)  1 Nd 3.09, 1 Er 3.18
Pm (0.0000, 0.0000, 0.0000)  4 Nd 3.56, 8 Pm 3.87, 2 Pr 3.96
Pm (0.3485, 0.8485, 0.2769)  1 Nd 3.09, 1 Er 3.18
Pm (0.5716, 0.6515, 0.7231)  1 Nd 3.09, 1 Er 3.18
Pm (0.0716, 0.5716, 0.7231)  1 Nd 3.09, 1 Er 3.18
Pm (0.8485, 0.9284, 0.2769)  1 Nd 3.09, 1 Er 3.18
Pm (0.4284, 0.3485, 0.2769)  1 Nd 3.09, 1 Er 3.18
Pm (0.9284, 0.4284, 0.2769)  1 Nd 3.09, 1 Er 3.18
Pm (0.6515, 0.1515, 0.7231)  1 Nd 3.09, 1 Er 3.18
Pr (0.7500, 0.7500, 0.5000)  10 Pm 3.64-3.96
Pr (0.2500, 0.2500, 0.5000)  10 Pm 3.64-3.96
Er (0.2500, 0.7500, 0.5000)  4 Pm 3.18
Er (0.7500, 0.2500, 0.5000)  4 Pm 3.18

Energy of formation in eV per formula unit: 2.4



# 2
Na2Pr3Pb3: optimized geometry, GGA-PBE.

Lattice parameters (Å, degrees): 6.5829 9.6817 9.6817 120.00 90.00 90.00
Last column: nearest neighbours and their distance in Å.
Atoms (fractional coordinates):
Pb (0.2500, 0.3520, 0.0000)  5 Pr 3.22-3.32, 4 Na 3.55
Pb (0.2500, 0.0000, 0.3520)  5 Pr 3.22-3.32, 4 Na 3.55
Pb (0.7500, 0.3520, 0.3520)  5 Pr 3.22-3.32, 4 Na 3.55
Pb (0.2500, 0.6480, 0.6480)  5 Pr 3.22-3.32, 4 Na 3.55
Pb (0.7500, 0.6480, 0.0000)  5 Pr 3.22-3.32, 4 Na 3.55
Pb (0.7500, 0.0000, 0.6480)  5 Pr 3.22-3.32, 4 Na 3.55
Na (0.5000, 0.6667, 0.3333)  2 Na 3.29, 6 Pb 3.55
Na (0.0000, 0.3333, 0.6667)  2 Na 3.29, 6 Pb 3.55
Na (0.5000, 0.3333, 0.6667)  2 Na 3.29, 6 Pb 3.55
Na (0.0000, 0.6667, 0.3333)  2 Na 3.29, 6 Pb 3.55
Pr (0.2500, 0.3088, 0.3088)  5 Pb 3.22-3.32
Pr (0.2500, 0.6912, 0.0000)  5 Pb 3.22-3.32
Pr (0.7500, 0.6912, 0.6912)  5 Pb 3.22-3.32
Pr (0.7500, 0.3088, 0.0000)  5 Pb 3.22-3.32
Pr (0.7500, 0.0000, 0.3088)  5 Pb 3.22-3.32
Pr (0.2500, 0.0000, 0.6912)  5 Pb 3.22-3.32

Energy of formation in eV per formula unit: -3.0



# 3
YMoN3: optimized geometry, GGA-PBE.

Lattice parameters (Å, degrees): 4.6505 4.6505 4.6505 86.03 86.03 86.03
Last column: nearest neighbours and their distance in Å.
Atoms (fractional coordinates):
N (0.0909, 0.6585, 0.6585)  1 Mo 1.81
N (0.6585, 0.0909, 0.6585)  1 Mo 1.81
N (0.6585, 0.6585, 0.0909)  1 Mo 1.81
Mo (0.9042, 0.9042, 0.9042)  3 N 1.81
Y (0.5629, 0.5629, 0.5629)  3 N 2.23

Energy relative to the elements, uncorrected in kJ/mol of atoms: -18.7



# 4
CuRh: optimized geometry, GGA-PBE.

Lattice parameters (Å, degrees): 8.6583 8.6583 8.6583 17.88 17.88 17.88
Last column: nearest neighbours and their distance in Å.
Atoms (fractional coordinates):
Rh (0.5014, 0.5014, 0.5014)  3 Cu 2.66, 9 Rh 2.69
Rh (0.7486, 0.7486, 0.7486)  3 Cu 2.66, 9 Rh 2.69
Cu (0.2524, 0.2524, 0.2524)  9 Cu 2.54-2.69, 3 Rh 2.66
Cu (0.9976, 0.9976, 0.9976)  9 Cu 2.54-2.69, 3 Rh 2.66

Energy of formation in eV per formula unit: 0.1



# 5
Sr2PrTcO6: optimized geometry, GGA-PBE.

Lattice parameters (Å, degrees): 5.8955 6.0421 8.4081 90.00 90.64 90.00
Last column: nearest neighbours and their distance in Å.
Atoms (fractional coordinates):
Pr (0.5000, 0.0000, 0.0000)  6 O 2.36-2.38
Pr (0.0000, 0.5000, 0.5000)  6 O 2.36-2.38
O (0.8173, 0.7704, 0.9469)  1 Tc 2.00
O (0.2297, 0.1880, 0.4534)  1 Tc 1.99
O (0.4083, 0.9681, 0.7262)  1 Tc 1.99
O (0.5917, 0.0319, 0.2738)  1 Tc 1.99
O (0.2703, 0.6880, 0.0466)  1 Tc 1.99
O (0.7297, 0.3120, 0.9534)  1 Tc 1.99
O (0.1827, 0.2296, 0.0531)  1 Tc 2.00
O (0.0917, 0.4681, 0.7738)  1 Tc 1.99
O (0.9083, 0.5319, 0.2262)  1 Tc 1.99
O (0.7703, 0.8120, 0.5466)  1 Tc 1.99
O (0.3173, 0.7296, 0.4469)  1 Tc 2.00
O (0.6827, 0.2704, 0.5531)  1 Tc 2.00
Sr (0.9867, 0.0457, 0.7496)  6 O 2.54-2.81
Sr (0.5133, 0.5457, 0.7504)  6 O 2.54-2.81
Sr (0.4867, 0.4543, 0.2496)  6 O 2.54-2.81
Sr (0.0133, 0.9543, 0.2504)  6 O 2.54-2.81
Tc (0.0000, 0.5000, 0.0000)  6 O 1.99-2.00
Tc (0.5000, 0.0000, 0.5000)  6 O 1.99-2.00

Energy relative to the elements, uncorrected in kJ/mol of atoms: -239.7



# 6
Cu2Ni4Pt3: optimized geometry, GGA-PBE.

Lattice parameters (Å, degrees): 4.5055 7.4154 7.4151 73.27 82.40 82.40
Last column: nearest neighbours and their distance in Å.
Atoms (fractional coordinates):
Cu (0.3002, 0.5059, 0.2687)  4 Ni 2.55-2.69, 5 Pt 2.60-2.62, 1 Cu 2.65
Cu (0.8002, 0.2687, 0.5059)  4 Ni 2.55-2.69, 5 Pt 2.60-2.62, 1 Cu 2.65
Cu (0.1998, 0.7313, 0.4941)  4 Ni 2.55-2.69, 5 Pt 2.60-2.62, 1 Cu 2.65
Cu (0.6998, 0.4941, 0.7313)  4 Ni 2.55-2.69, 5 Pt 2.60-2.62, 1 Cu 2.65
Pt (0.0837, 0.9642, 0.7062)  8 Ni 2.55-2.60, 2 Cu 2.60-2.61
Pt (0.5837, 0.7062, 0.9642)  8 Ni 2.55-2.60, 2 Cu 2.60-2.61
Pt (0.7500, 0.6350, 0.3650)  4 Ni 2.55-2.67, 6 Cu 2.61-2.62
Pt (0.4163, 0.2938, 0.0358)  8 Ni 2.55-2.60, 2 Cu 2.60-2.61
Pt (0.9163, 0.0358, 0.2938)  8 Ni 2.55-2.60, 2 Cu 2.60-2.61
Pt (0.2500, 0.3650, 0.6350)  4 Ni 2.55-2.67, 6 Cu 2.61-2.62
Ni (0.6324, 0.8530, 0.6008)  2 Ni 2.51-2.55, 3 Cu 2.55-2.69, 5 Pt 2.56-2.67
Ni (0.3676, 0.1470, 0.3992)  2 Ni 2.51-2.55, 3 Cu 2.55-2.69, 5 Pt 2.56-2.67
Ni (0.1324, 0.6008, 0.8530)  2 Ni 2.51-2.55, 3 Cu 2.55-2.69, 5 Pt 2.56-2.67
Ni (0.5355, 0.0644, 0.8236)  4 Ni 2.51-2.70, 5 Pt 2.55-2.60, 1 Cu 2.64
Ni (0.9645, 0.1764, 0.9356)  4 Ni 2.51-2.70, 5 Pt 2.55-2.60, 1 Cu 2.64
Ni (0.4645, 0.9356, 0.1764)  4 Ni 2.51-2.70, 5 Pt 2.55-2.60, 1 Cu 2.64
Ni (0.0355, 0.8236, 0.0644)  4 Ni 2.51-2.70, 5 Pt 2.55-2.60, 1 Cu 2.64
Ni (0.8676, 0.3992, 0.1470)  2 Ni 2.51-2.55, 3 Cu 2.55-2.69, 5 Pt 2.56-2.67

Energy of formation in eV per formula unit: -0.1



Short version: theoretical density = 7.01 6.78 3.77 10.35 5.66 13.44 g/cm³, in the order given.